Here is VH2F after structural relaxation from the Alexandria database. Energies are from GGA+U.

a b c (Å): 7.6113 7.6113 7.6113
angles (deg): 156.18 156.18 33.94
Closest atoms and distances in Å follow each position.
Fractional coordinates of all 8 atoms:
V (0.3750, 0.6250, 0.7500)  4 H 1.98
V (0.6250, 0.3750, 0.2500)  4 H 1.98
H (0.0000, 0.5000, 0.5000)  2 H 1.57
H (0.5000, 0.0000, 0.0000)  2 H 1.57
H (0.5000, 0.5000, 0.0000)  2 H 1.57
H (0.5000, 0.5000, 0.5000)  2 H 1.57
F (0.1250, 0.8750, 0.2500)  4 V 2.22
F (0.8750, 0.1250, 0.7500)  4 V 2.22

Calculated values
SG ... I4_1/amd
Crystal system ... tetragonal
Energy above the most stable polymorph in this dataset ... 16.9 meV/atom
Volume ... 71.9 Å³/cell